(1)
! Na2Li2TeS4 | Alexandria | PBE-GGA | optimized geometry; values from VASP
&SYSTEM
  ibrav = 0, nat = 9, ntyp = 4
/
ATOMIC_SPECIES
Na 22.99 Na.upf
Li 6.94 Li.upf
Te 127.60 Te.upf
S 32.06 S.upf
ATOMIC_POSITIONS angstrom
Na 2.1426 0.0000 0.2093
Na 9.0988 0.0000 6.3559
Li 2.9117 0.0000 3.3977
Li 8.3298 0.0000 3.1676
Te -1.6883 0.0000 3.2826
S 0.7151 0.0000 4.5429
S 4.7374 0.0000 4.9485
S 6.5041 0.0000 1.6167
S 10.5264 0.0000 2.0224
CELL_PARAMETERS angstrom
7.3091 -1.9562 0.0000
7.3091 1.9562 0.0000
-3.3766 0.0000 6.5653
! VASP energy (eV/atom): -3.716


(2)
! Na3LiTe3S8 | Alexandria | PBE-GGA | optimized geometry; values from VASP
&SYSTEM
  ibrav = 0, nat = 15, ntyp = 4
/
ATOMIC_SPECIES
Na 22.99 Na.upf
Li 6.94 Li.upf
Te 127.60 Te.upf
S 32.06 S.upf
ATOMIC_POSITIONS angstrom
Na -1.9243 -1.1110 6.8512
Na -1.9243 1.1110 13.7024
Na 0.0000 2.2220 6.8512
Li 0.0000 0.0000 10.2768
Te -3.8485 0.0000 10.2768
Te -1.9243 1.1110 3.4256
Te 1.9243 1.1110 3.4256
S -1.9204 -1.1088 11.7442
S 0.0000 0.0000 4.9956
S 0.0000 -2.2175 8.8095
S -1.9204 1.1088 8.8095
S 1.9204 -1.1088 11.7442
S 0.0000 2.2175 11.7442
S 0.0000 0.0000 15.5580
S 1.9204 1.1088 8.8095
CELL_PARAMETERS angstrom
3.8486 2.2220 6.8512
-3.8486 2.2220 6.8512
0.0000 -4.4439 6.8512
! VASP energy (eV/atom): -3.635


(3)
! Na2LiTeS4 | Alexandria | PBE-GGA | optimized geometry; values from VASP
&SYSTEM
  ibrav = 0, nat = 16, ntyp = 4
/
ATOMIC_SPECIES
Na 22.99 Na.upf
Li 6.94 Li.upf
Te 127.60 Te.upf
S 32.06 S.upf
ATOMIC_POSITIONS angstrom
Na 0.0000 0.0000 0.0000
Na -1.8662 2.0576 2.7473
Na 0.0000 4.1152 0.0000
Na 1.8662 2.0576 2.7473
Li 3.7325 0.0000 0.0000
Li 0.0000 0.0000 5.4946
Te 1.8662 2.0576 -2.7473
Te 1.8662 -2.0576 2.7473
S 3.7325 -0.1712 2.6667
S 1.9884 2.0576 -0.1463
S 3.7325 3.9439 -2.6667
S 5.4765 2.0576 -0.1463
S -1.7441 2.0576 5.6408
S 0.0000 0.1712 8.1612
S 1.7441 2.0576 5.6408
S 0.0000 4.2864 2.8279
CELL_PARAMETERS angstrom
-3.7325 4.1152 5.4946
3.7325 -4.1152 5.4946
3.7325 4.1152 -5.4946
! VASP energy (eV/atom): -3.605


(4)
! NaLiThS3 | Alexandria | PBE-GGA | optimized geometry; values from VASP
&SYSTEM
  ibrav = 0, nat = 12, ntyp = 4
/
ATOMIC_SPECIES
Na 22.99 Na.upf
Li 6.94 Li.upf
Th 232.04 Th.upf
S 32.06 S.upf
ATOMIC_POSITIONS angstrom
Na 0.5955 1.0468 1.8495
Na 5.1991 3.1404 8.0646
Li 0.4092 3.1404 5.4967
Li 5.3854 1.0468 4.4174
Th 1.6206 1.0468 8.1139
Th 4.1740 3.1404 1.8002
S -0.5921 1.0468 6.5979
S 0.6316 3.1404 9.8493
S 3.1350 1.0468 3.1970
S 2.6597 3.1404 6.7171
S 5.1631 1.0468 0.0648
S 6.3867 3.1404 3.3161
CELL_PARAMETERS angstrom
7.1226 0.0000 0.0000
0.0000 4.1872 0.0000
-1.3279 0.0000 9.9141
! VASP energy (eV/atom): -5.466


(5)
! NaLi3Th2S6 | Alexandria | PBE-GGA | optimized geometry; values from VASP
&SYSTEM
  ibrav = 0, nat = 12, ntyp = 4
/
ATOMIC_SPECIES
Na 22.99 Na.upf
Li 6.94 Li.upf
Th 232.04 Th.upf
S 32.06 S.upf
ATOMIC_POSITIONS angstrom
Na 0.0000 0.0000 0.0000
Li -0.7661 0.0000 3.8663
Li 5.4186 0.0000 1.3026
Li 9.7258 0.0000 6.4300
Th 4.6936 0.0000 5.2722
Th 10.4508 0.0000 2.4605
S 1.9285 0.0000 4.4160
S 2.7854 0.0000 0.7182
S 7.8573 0.0000 2.0215
S 7.2870 0.0000 5.7112
S 12.3589 0.0000 7.0144
S 13.2158 0.0000 3.3166
CELL_PARAMETERS angstrom
8.3382 -2.0552 0.0000
8.3382 2.0552 0.0000
-1.5321 0.0000 7.7327
! VASP energy (eV/atom): -5.495


(6)
! Na3LiTh3S8 | Alexandria | PBE-GGA | optimized geometry; values from VASP
&SYSTEM
  ibrav = 0, nat = 15, ntyp = 4
/
ATOMIC_SPECIES
Na 22.99 Na.upf
Li 6.94 Li.upf
Th 232.04 Th.upf
S 32.06 S.upf
ATOMIC_POSITIONS angstrom
Na -2.0531 -1.1854 6.6353
Na -2.0531 1.1854 13.2707
Na 0.0000 2.3708 6.6353
Li 0.0000 0.0000 9.9530
Th -4.1063 0.0000 9.9530
Th -2.0531 1.1854 3.3177
Th 2.0531 1.1854 3.3177
S -2.0846 -1.2035 11.3987
S 0.0000 0.0000 4.9058
S 0.0000 -2.4071 8.5073
S -2.0846 1.2035 8.5073
S 2.0846 -1.2035 11.3987
S 0.0000 2.4071 11.3987
S 0.0000 0.0000 15.0002
S 2.0846 1.2035 8.5073
CELL_PARAMETERS angstrom
4.1063 2.3708 6.6353
-4.1063 2.3708 6.6353
0.0000 -4.7415 6.6353
! VASP energy (eV/atom): -5.722


Question: Which of these has the highest VASP energy?
Answer: Na2LiTeS4